Record 1
This record from Alexandria describes an optimized crystal structure of GaCuO2. The functional is GGA-PBE.

Unit cell a=3.0187 b=3.0187 c=17.5241 alpha=90.00 beta=90.00 gamma=120.00
Space group R-3m (No. 166, hexagonal axes)
One atom of each set of equivalent atoms:
Ga (0.0000, 0.0000, 0.0000) (multiplicity 3)
Cu (0.0000, 0.0000, 0.5000) (multiplicity 3)
O (0.0000, 0.0000, 0.1057) (multiplicity 6)



Record 2
This record from Alexandria describes an optimized crystal structure of GaCu2O4. The functional is GGA-PBE.

Unit cell a=5.1409 b=9.4797 c=2.8847 alpha=90.00 beta=90.00 gamma=90.00
Space group Cmmm (No. 65)
One atom of each set of equivalent atoms:
Ga (0.0000, 0.0000, 0.0000) (multiplicity 2)
Cu (0.0000, 0.3295, 0.5000) (multiplicity 4)
O (0.2480, 0.0000, 0.5000) (multiplicity 4)
O (0.2500, 0.2500, 0.0000) (multiplicity 4)



Record 3
This record from Alexandria describes an optimized crystal structure of GaCuO2. The functional is GGA-PBE.

Unit cell a=3.0134 b=3.0134 c=11.5479 alpha=90.00 beta=90.00 gamma=120.00
Space group P6_3/mmc (No. 194)
One atom of each set of equivalent atoms:
Ga (0.0000, 0.0000, 0.0000) (multiplicity 2)
Cu (0.3333, 0.6667, 0.2500) (multiplicity 2)
O (0.3333, 0.6667, 0.0881) (multiplicity 4)



Record 4
This record from Alexandria describes an optimized crystal structure of Ga5Cu3O12. The functional is GGA-PBE.

Unit cell a=12.1029 b=12.1029 c=12.1029 alpha=90.00 beta=90.00 gamma=90.00
Space group Ia-3d (No. 230)
One atom of each set of equivalent atoms:
Ga (0.0000, 0.0000, 0.0000) (multiplicity 16)
Ga (0.0000, 0.2500, 0.3750) (multiplicity 24)
Cu (0.0000, 0.2500, 0.1250) (multiplicity 24)
O (0.0193, 0.0525, 0.6538) (multiplicity 96)



Record 5
This record from Alexandria describes an optimized crystal structure of GaCuO2. The functional is GGA-PBE.

Unit cell a=3.0127 b=3.0127 c=17.3231 alpha=90.00 beta=90.00 gamma=120.00
Space group R-3m (No. 166, hexagonal axes)
One atom of each set of equivalent atoms:
Ga (0.0000, 0.0000, 0.0000) (multiplicity 3)
Cu (0.0000, 0.0000, 0.5000) (multiplicity 3)
O (0.0000, 0.0000, 0.3921) (multiplicity 6)



Record 6
This record from Alexandria describes an optimized crystal structure of Ga2CuO. The functional is GGA-PBE.

Unit cell a=5.6858 b=5.6858 c=7.7596 alpha=90.00 beta=90.00 gamma=90.00
Space group I-42d (No. 122)
One atom of each set of equivalent atoms:
Ga (0.2017, 0.2500, 0.1250) (multiplicity 8)
Cu (0.0000, 0.0000, 0.5000) (multiplicity 4)
O (0.0000, 0.0000, 0.0000) (multiplicity 4)



These records have Fermi-level density of states values of 0.61; 0.75; 0.00; 0.44; 0.00; 0.33 states/eV per atom, in the order they appear.
These records have uncorrected formation energy values of -0.60; -0.69; -1.33; -1.03; -1.33; -0.44 eV/atom, in the order they appear.